## Ce2InBi3 (PBE)

Data for a geometry-optimized Ce2InBi3 structure.

DOS(E_F) = 11.983 states/eV/cell
space-group type = No. 65
calculated formation energy = -574 meV/atom
relative energy among the computed polymorphs = 0.0 kJ/mol of atoms
DFT total energy = -29.69 eV/cell

Cell lengths 8.5587, 8.5587, 4.7381 Å; angles 90.00, 90.00, 149.02 degrees
Fractional positions:
Ce1 0.1450 0.8550 0.0000
Ce2 0.8550 0.1450 0.0000
In1 0.0000 0.0000 0.5000
Bi1 0.3249 0.6751 0.5000
Bi2 0.5000 0.5000 0.0000
Bi3 0.6751 0.3249 0.5000